[1]
BaPmIn | the Alexandria database | PBE | relaxed; D(E_F) = 1.05 states/eV/atom; SG = I4mm, No. 107; energy of formation from the pure elements = -0.21 eV per atom; relative energy among the computed polymorphs = 106.1 meV per atom
1.0
-2.0390 2.0390 6.9802
2.0390 -2.0390 6.9802
2.0390 2.0390 -6.9802
Ba Pm In
1 1 1
direct
0.0000 0.0000 0.0000
0.2761 0.2761 0.0000
0.6707 0.6707 0.0000



[2]
ZnGa12Ag6 | the Alexandria database | PBE | relaxed; D(E_F) = 0.43 states/eV/atom; SG = R-3, No. 148; energy of formation from the pure elements = 0.06 eV per atom; relative energy among the computed polymorphs = 7.9 meV per atom
1.0
5.4386 3.1400 3.5891
-5.4386 3.1400 3.5891
0.0000 -6.2799 3.5891
Zn Ga Ag
1 12 6
direct
0.0000 0.0000 0.0000
0.0235 0.8394 0.3088
0.1606 0.6912 0.9765
0.1914 0.4957 0.6415
0.3088 0.0235 0.8394
0.3585 0.8086 0.5043
0.4957 0.6415 0.1914
0.5043 0.3585 0.8086
0.6415 0.1914 0.4957
0.6912 0.9765 0.1606
0.8086 0.5043 0.3585
0.8394 0.3088 0.0235
0.9765 0.1606 0.6912
0.1602 0.4690 0.2624
0.2624 0.1602 0.4690
0.4690 0.2624 0.1602
0.5310 0.7376 0.8398
0.7376 0.8398 0.5310
0.8398 0.5310 0.7376



[3]
CdPd7Au3 | the Alexandria database | PBE | relaxed; D(E_F) = 1.10 states/eV/atom; SG = C2/m, No. 12; energy of formation from the pure elements = 0.13 eV per atom; relative energy among the computed polymorphs = 179.6 meV per atom
1.0
4.5526 -4.6986 0.0000
4.5526 4.6986 0.0000
-2.1378 0.0000 4.6920
Cd Pd Au
1 7 3
direct
0.0000 0.0000 0.0000
0.0000 0.0000 0.5000
0.0832 0.5703 0.8256
0.2879 0.2879 0.4548
0.4297 0.9168 0.1744
0.5703 0.0832 0.8256
0.7121 0.7121 0.5452
0.9168 0.4297 0.1744
0.2843 0.7157 0.5000
0.5000 0.5000 0.0000
0.7157 0.2843 0.5000



[4]
NiTe4As | the Alexandria database | PBE | relaxed; formation energy from raw total energies = 1011 meV/atom; D(E_F) = 1.95 states/eV/atom; SG = F-43m, No. 216; relative energy among the computed polymorphs = 1042.3 meV per atom
1.0
0.0000 4.3784 4.3784
4.3784 0.0000 4.3784
4.3784 4.3784 0.0000
Ni Te As
1 4 1
direct
0.0000 0.0000 0.0000
0.1255 0.6248 0.6248
0.6248 0.1255 0.6248
0.6248 0.6248 0.1255
0.6248 0.6248 0.6248
0.2500 0.2500 0.2500



[5]
NaLaSnAu | the Alexandria database | PBE | relaxed; D(E_F) = 0.67 states/eV/atom; SG = F-43m, No. 216; energy of formation from the pure elements = -0.53 eV per atom
1.0
0.0000 3.7569 3.7569
3.7569 0.0000 3.7569
3.7569 3.7569 0.0000
Na La Sn Au
1 1 1 1
direct
0.0000 0.0000 0.0000
0.5000 0.5000 0.5000
0.2500 0.2500 0.2500
0.7500 0.7500 0.7500



[6]
Li5Ga | the Alexandria database | PBE | relaxed; D(E_F) = 0.29 states/eV/atom; SG = Cmmm, No. 65; energy of formation from the pure elements = -0.13 eV per atom; relative energy among the computed polymorphs = 14.6 meV per atom
1.0
2.2956 -6.9572 0.0000
2.2956 6.9572 0.0000
0.0000 0.0000 3.2610
Li Ga
5 1
direct
0.0000 0.0000 0.0000
0.1639 0.8361 0.5000
0.3440 0.6560 0.0000
0.6560 0.3440 0.0000
0.8361 0.1639 0.5000
0.5000 0.5000 0.5000



[7]
CsBiTe2O8 | the Alexandria database | PBE | relaxed; formation energy from raw total energies = -1074 meV/atom; D(E_F) = 0.00 states/eV/atom; SG = P-3, No. 147
1.0
5.7476 0.0000 0.0000
-2.8738 4.9776 0.0000
0.0000 0.0000 9.5934
Cs Bi Te O
1 1 2 8
direct
0.0000 0.0000 0.0000
0.0000 0.0000 0.5000
0.3333 0.6667 0.7169
0.6667 0.3333 0.2831
0.0538 0.3422 0.6518
0.2884 0.9462 0.6518
0.3333 0.6667 0.9069
0.3422 0.2884 0.3482
0.6578 0.7116 0.6518
0.6667 0.3333 0.0931
0.7116 0.0538 0.3482
0.9462 0.6578 0.3482



[8]
TlSi2Pb | the Alexandria database | PBE | relaxed; formation energy from raw total energies = 663 meV/atom; D(E_F) = 0.46 states/eV/atom; SG = R-3m, No. 166; relative energy among the computed polymorphs = 467.9 meV per atom
1.0
1.7077 0.9860 9.6638
-1.7077 0.9860 9.6638
0.0000 -1.9719 9.6638
Tl Si Pb
1 2 1
direct
0.0000 0.0000 0.0000
0.2466 0.2466 0.2466
0.7534 0.7534 0.7534
0.5000 0.5000 0.5000



[9]
PmNpRhAu | the Alexandria database | PBE | relaxed; D(E_F) = 2.88 states/eV/atom; SG = F-43m, No. 216; energy of formation from the pure elements = -0.31 eV per atom
1.0
0.0000 3.5665 3.5665
3.5665 0.0000 3.5665
3.5665 3.5665 0.0000
Pm Np Rh Au
1 1 1 1
direct
0.0000 0.0000 0.0000
0.5000 0.5000 0.5000
0.2500 0.2500 0.2500
0.7500 0.7500 0.7500



[10]
PuB5Rh7 | the Alexandria database | PBE | relaxed; D(E_F) = 0.82 states/eV/atom; SG = Imm2, No. 44; energy of formation from the pure elements = -0.19 eV per atom
1.0
-2.5187 4.2663 3.6644
2.5187 -4.2663 3.6644
2.5187 4.2663 -3.6644
Pu B Rh
1 5 7
direct
0.0000 0.0000 0.0000
0.0231 0.5745 0.0829
0.0231 0.9402 0.4486
0.4916 0.5745 0.5514
0.4916 0.9402 0.9171
0.8106 0.3106 0.5000
0.1722 0.4617 0.7104
0.2596 0.7596 0.5000
0.3239 0.3239 0.0000
0.4245 0.0884 0.3361
0.6784 0.6784 0.0000
0.7513 0.4617 0.2896
0.7522 0.0884 0.6639



[11]
TaCrNi | the Alexandria database | PBE | relaxed; D(E_F) = 1.16 states/eV/atom; SG = Amm2, No. 38; energy of formation from the pure elements = -0.17 eV per atom; relative energy among the computed polymorphs = 0.0 meV per atom
1.0
7.8673 0.0000 0.0000
0.0000 2.3971 4.2720
0.0000 -2.3971 4.2720
Ta Cr Ni
4 4 4
direct
0.1885 0.0000 0.0000
0.3113 0.3279 0.3279
0.6887 0.3279 0.3279
0.8115 0.0000 0.0000
0.2510 0.6625 0.6625
0.5000 0.3315 0.8322
0.5000 0.8322 0.3315
0.7490 0.6625 0.6625
0.0000 0.4938 0.4938
0.0000 0.4936 0.9993
0.0000 0.9993 0.4936
0.5000 0.8390 0.8390



[12]
Tl2NiS6 | the Alexandria database | PBE | relaxed; formation energy from raw total energies = -142 meV/atom; D(E_F) = 0.01 states/eV/atom; SG = C2/m, No. 12
1.0
5.4428 -4.5214 0.0000
5.4428 4.5214 0.0000
-1.0726 0.0000 4.7626
Tl Ni S
2 1 6
direct
0.2398 0.2398 0.3046
0.7602 0.7602 0.6954
0.0000 0.0000 0.5000
0.0650 0.7210 0.2117
0.2790 0.9350 0.7883
0.2994 0.7006 0.0000
0.7006 0.2994 0.0000
0.7210 0.0650 0.2117
0.9350 0.2790 0.7883



Number 1: E -0.123 hartree per atom. Number 2: E -0.104 hartree per atom. Number 3: E -0.153 hartree per atom. Number 4: E -0.104 hartree per atom. Number 5: E -0.144 hartree per atom. Number 6: E -0.082 hartree per atom. Number 7: E -0.195 hartree per atom. Number 8: E -0.131 hartree per atom. Number 9: E -0.272 hartree per atom. Number 10: E -0.287 hartree per atom. Number 11: E -0.340 hartree per atom. Number 12: E -0.149 hartree per atom.